Entry 1:
A plane-wave DFT calculation with PBE was carried out for an optimized crystal structure of BaCaNi.

It has space group Cm (No. 8), with a = 15.600 Å, b = 4.172 Å, c = 6.600 Å, α = 90.00°, β = 100.89° and γ = 90.00°. Symmetry generates all atoms from Ba at (0.000, 0.000, 0.000), Ba at (0.083, 0.500, 0.532), Ca at (0.266, 0.500, 0.117), Ca at (0.326, 0.000, 0.610), Ni at (0.401, 0.000, 0.247) and Ni at (0.423, 0.500, 0.431).

For the size of the total moment, the calculation gives 0.00 μB/atom.

***

Entry 2:
A plane-wave DFT calculation with PBE was carried out for an optimized crystal structure of BaCaNi.

It has space group Pm (No. 6), with a = 7.142 Å, b = 4.060 Å, c = 7.447 Å, α = 90.00°, β = 102.20° and γ = 90.00°. Symmetry generates all atoms from Ba at (0.000, 0.000, 0.000), Ba at (0.100, 0.500, 0.472), Ca at (0.518, 0.500, 0.086), Ca at (0.617, 0.500, 0.565), Ni at (0.401, 0.000, 0.316) and Ni at (0.735, 0.000, 0.321).

For the size of the total moment, the calculation gives 0.00 μB/atom.

***

Entry 3:
A plane-wave DFT calculation with PBE was carried out for an optimized crystal structure of BaCaNi.

It has space group F-43m (No. 216), with a = 7.302 Å, b = 7.302 Å, c = 7.302 Å, α = 90.00°, β = 90.00° and γ = 90.00°. Symmetry generates all atoms from Ba at (0.000, 0.000, 0.000), Ca at (0.250, 0.250, 0.250) and Ni at (0.250, 0.250, 0.750).

For the size of the total moment, the calculation gives 0.00 μB/atom.

***

Entry 4:
A plane-wave DFT calculation with PBE was carried out for an optimized crystal structure of BaCaNi.

It has space group P-1 (No. 2), with a = 5.657 Å, b = 6.086 Å, c = 6.532 Å, α = 105.50°, β = 101.38° and γ = 93.55°. Symmetry generates all atoms from Ba at (0.060, 0.319, 0.223), Ca at (0.441, 0.163, 0.748) and Ni at (0.080, 0.875, 0.365).

For the size of the total moment, the calculation gives 0.00 μB/atom.

***

Entry 5:
A plane-wave DFT calculation with PBE was carried out for an optimized crystal structure of BaCa3Ni2.

It has space group C2/m (No. 12), with a = 17.717 Å, b = 4.101 Å, c = 12.676 Å, α = 90.00°, β = 123.73° and γ = 90.00°. Symmetry generates all atoms from Ba at (0.153, 0.000, 0.241), Ca at (0.093, 0.500, 0.935), Ca at (0.094, 0.500, 0.455), Ca at (0.159, 0.000, 0.758), Ni at (0.237, 0.000, 0.035) and Ni at (0.237, 0.000, 0.538).

For the size of the total moment, the calculation gives 0.00 μB/atom.

***

Entry 6:
A plane-wave DFT calculation with PBE was carried out for an optimized crystal structure of BaCaNi2.

It has space group Imm2 (No. 44), with a = 4.100 Å, b = 4.211 Å, c = 13.902 Å, α = 90.00°, β = 90.00° and γ = 90.00°. Symmetry generates all atoms from Ba at (0.000, 0.000, 0.000), Ca at (0.000, 0.500, 0.740), Ni at (0.000, 0.000, 0.606) and Ni at (0.000, 0.500, 0.173).

For the size of the total moment, the calculation gives 0.00 μB/atom.

***

Density of states at the Fermi level list, top to bottom, in states/eV/cell: 8.85; 3.61; 5.89; 4.69; 18.62; 5.68
E_tot list, top to bottom, in eV per atom: -3.269; -3.211; -2.460; -3.244; -3.322; -3.818